# 1
The following is a DFT calculation (GGA-PBE) of a geometry-optimized Dy2ErHg6 structure.

Lattice parameters (Å, degrees): 5.4205 9.2467 9.2467 78.23 82.25 82.25
With the nearest neighbours (Å) after each atom.
Element x y z (fractional)
Hg 0.8041 0.0141 0.7649  5 Hg 3.09-3.30, 3 Er 3.11-3.30, 2 Dy 3.15-3.32
Hg 0.6379 0.0960 0.3461  5 Hg 3.09-3.32, 1 Er 3.12, 4 Dy 3.13-3.33
Hg 0.3621 0.9040 0.6539  5 Hg 3.09-3.32, 1 Er 3.12, 4 Dy 3.13-3.33
Hg 0.6959 0.2351 0.9859  5 Hg 3.09-3.30, 3 Er 3.11-3.30, 2 Dy 3.15-3.32
Hg 0.1379 0.3461 0.0960  5 Hg 3.09-3.32, 1 Er 3.12, 4 Dy 3.13-3.33
Hg 0.8621 0.6539 0.9040  5 Hg 3.09-3.32, 1 Er 3.12, 4 Dy 3.13-3.33
Hg 0.4710 0.6815 0.4296  5 Hg 3.10-3.33, 4 Dy 3.12-3.33, 1 Er 3.31
Hg 0.9710 0.4296 0.6815  5 Hg 3.10-3.33, 4 Dy 3.12-3.33, 1 Er 3.31
Hg 0.3041 0.7649 0.0141  5 Hg 3.09-3.30, 3 Er 3.11-3.30, 2 Dy 3.15-3.32
Hg 0.1959 0.9859 0.2351  5 Hg 3.09-3.30, 3 Er 3.11-3.30, 2 Dy 3.15-3.32
Hg 0.0290 0.5704 0.3185  5 Hg 3.10-3.33, 4 Dy 3.12-3.33, 1 Er 3.31
Hg 0.5290 0.3185 0.5704  5 Hg 3.10-3.33, 4 Dy 3.12-3.33, 1 Er 3.31
Dy 0.9167 0.7923 0.5411  10 Hg 3.12-3.33
Dy 0.5833 0.4589 0.2077  10 Hg 3.12-3.33
Dy 0.0833 0.2077 0.4589  10 Hg 3.12-3.33
Dy 0.4167 0.5411 0.7923  10 Hg 3.12-3.33
Er 0.7500 0.8750 0.1250  10 Hg 3.11-3.31
Er 0.2500 0.1250 0.8750  10 Hg 3.11-3.31

Uncorrected energy   -2.12 eV per atom
DOS(E_F)   7.8 states/eV per cell

=====

# 2
The following is a DFT calculation (GGA-PBE) of a geometry-optimized Ac12TlGa6 structure.

Lattice parameters (Å, degrees): 9.6490 9.6490 9.6490 109.47 109.47 109.47
With the nearest neighbours (Å) after each atom.
Element x y z (fractional)
Ga 0.8837 0.3837 0.5000  1 Ga 2.59
Ga 0.5000 0.8837 0.3837  1 Ga 2.59
Ga 0.3837 0.5000 0.8837  1 Ga 2.59
Ga 0.6163 0.5000 0.1163  1 Ga 2.59
Ga 0.1163 0.6163 0.5000  1 Ga 2.59
Ga 0.5000 0.1163 0.6163  1 Ga 2.59
Ac 0.1093 0.8115 0.2978  3 Ga 3.13-3.34
Ac 0.8115 0.2978 0.1093  3 Ga 3.13-3.34
Ac 0.8115 0.7022 0.5137  3 Ga 3.13-3.34
Ac 0.8907 0.1885 0.7022  3 Ga 3.13-3.34
Ac 0.7022 0.8907 0.1885  3 Ga 3.13-3.34
Ac 0.1885 0.2978 0.4863  3 Ga 3.13-3.34
Ac 0.2978 0.1093 0.8115  3 Ga 3.13-3.34
Ac 0.5137 0.8115 0.7022  3 Ga 3.13-3.34
Ac 0.4863 0.1885 0.2978  3 Ga 3.13-3.34
Ac 0.7022 0.5137 0.8115  3 Ga 3.13-3.34
Ac 0.2978 0.4863 0.1885  3 Ga 3.13-3.34
Ac 0.1885 0.7022 0.8907  3 Ga 3.13-3.34
Tl 0.0000 0.0000 0.0000  12 Ac 3.93

Uncorrected energy   -4.00 eV per atom
DOS(E_F)   18.8 states/eV per cell

=====

# 3
The following is a DFT calculation (GGA-PBE) of a geometry-optimized NbRe2RhF structure.

Lattice parameters (Å, degrees): 4.1102 4.4200 4.1102 90.00 90.00 90.00
With the nearest neighbours (Å) after each atom.
Element x y z (fractional)
Re 0.0000 0.0000 0.5000  2 F 2.06
Re 0.5000 0.0000 0.0000  2 F 2.06
Nb 0.5000 0.5000 0.5000  4 Rh 2.91, 8 Re 3.02
F 0.0000 0.0000 0.0000  4 Re 2.06, 2 Rh 2.21
Rh 0.0000 0.5000 0.0000  2 F 2.21

Raw formation energy   756 meV per atom
Uncorrected energy   -8.08 eV per atom
DOS(E_F)   3.9 states/eV per cell